Record 1
{"formula": "Ta2FeNiTe", "functional": "GGA-PBE", "state": "optimized geometry", "lattice": [[4.585, 0.000, 0.000], [0.000, 4.585, 0.000], [0.000, 0.000, 4.440]], "species": ["Ta", "Ta", "Fe", "Ni", "Te"], "fractional_positions": [[0.000, 0.500, 0.000], [0.500, 0.000, 0.000], [0.000, 0.000, 0.000], [0.000, 0.000, 0.500], [0.500, 0.500, 0.500]], "dos_ef_per_ev_fu": 4.98, "e_form_raw_ev_per_fu": 3.796}



Record 2
{"formula": "Rb2SmTh2Te6", "functional": "GGA-PBE", "state": "optimized geometry", "lattice": [[3.893, -6.747, 0.000], [3.893, 6.747, 0.000], [-2.593, 0.000, 8.877]], "species": ["Rb", "Rb", "Sm", "Th", "Th", "Te", "Te", "Te", "Te", "Te", "Te"], "fractional_positions": [[0.166, 0.834, 0.000], [0.834, 0.166, 0.000], [0.000, 0.000, 0.500], [0.333, 0.667, 0.500], [0.667, 0.333, 0.500], [0.070, 0.403, 0.705], [0.269, 0.269, 0.296], [0.403, 0.070, 0.705], [0.597, 0.930, 0.295], [0.731, 0.731, 0.704], [0.930, 0.597, 0.295]], "dos_ef_per_ev_fu": 5.52, "e_form_raw_ev_per_fu": -13.998}



Record 3
{"formula": "FeCo", "functional": "GGA-PBE", "state": "optimized geometry", "lattice": [[-2.838, 2.838, 2.852], [2.838, -2.838, 2.852], [2.838, 2.838, -2.852]], "species": ["Fe", "Fe", "Fe", "Fe", "Co", "Co", "Co", "Co"], "fractional_positions": [[0.000, 0.000, 0.000], [0.000, 0.000, 0.500], [0.000, 0.500, 0.000], [0.500, 0.000, 0.500], [0.000, 0.500, 0.500], [0.500, 0.000, 0.000], [0.500, 0.500, 0.000], [0.500, 0.500, 0.500]], "ef_ev_per_atom": -0.01, "dos_ef_per_ev_fu": 1.78}



Record 4
{"formula": "Mg3GePd12", "functional": "GGA-PBE", "state": "optimized geometry", "lattice": [[3.969, 0.000, 0.000], [0.000, 3.969, 0.000], [0.000, 0.000, 15.748]], "species": ["Mg", "Mg", "Mg", "Ge", "Pd", "Pd", "Pd", "Pd", "Pd", "Pd", "Pd", "Pd", "Pd", "Pd", "Pd", "Pd"], "fractional_positions": [[0.000, 0.000, 0.000], [0.000, 0.000, 0.252], [0.000, 0.000, 0.748], [0.000, 0.000, 0.500], [0.000, 0.500, 0.126], [0.000, 0.500, 0.379], [0.000, 0.500, 0.621], [0.000, 0.500, 0.874], [0.500, 0.000, 0.126], [0.500, 0.000, 0.379], [0.500, 0.000, 0.621], [0.500, 0.000, 0.874], [0.500, 0.500, 0.000], [0.500, 0.500, 0.252], [0.500, 0.500, 0.500], [0.500, 0.500, 0.748]], "ef_ev_per_atom": -0.45, "dos_ef_per_ev_fu": 20.01}



Record 5
{"formula": "Ce2DyTmSb4", "functional": "GGA-PBE", "state": "optimized geometry", "lattice": [[7.662, 0.000, 0.000], [0.000, 4.432, 0.000], [-2.564, 0.000, 7.238]], "species": ["Ce", "Ce", "Dy", "Tm", "Sb", "Sb", "Sb", "Sb"], "fractional_positions": [[0.000, 0.000, 0.000], [0.000, 0.500, 0.500], [0.500, 0.000, 0.500], [0.500, 0.500, 0.000], [0.258, 0.500, 0.251], [0.259, 0.000, 0.754], [0.741, 0.000, 0.246], [0.742, 0.500, 0.749]], "dos_ef_per_ev_fu": 13.84, "e_form_raw_ev_per_fu": -8.572}



Record 6
{"formula": "Dy2Ho4Pu", "functional": "GGA-PBE", "state": "optimized geometry", "lattice": [[-3.304, 3.304, 5.122], [3.304, -3.304, 5.122], [3.304, 3.304, -5.122]], "species": ["Dy", "Dy", "Ho", "Ho", "Ho", "Ho", "Pu"], "fractional_positions": [[0.000, 0.500, 0.500], [0.500, 0.000, 0.500], [0.085, 0.085, 0.632], [0.453, 0.453, 0.368], [0.547, 0.915, 0.000], [0.915, 0.547, 0.000], [0.000, 0.000, 0.000]], "ef_ev_per_atom": 0.25, "dos_ef_per_ev_fu": 16.01}